K4CrO5: relaxed, GGA+U.

a = 5.5096 Å, b = 6.3081 Å, c = 6.3081 Å
α = 79.01°, β = 64.11°, γ = 64.11°
Fractional positions:
1 K 0.4069 0.4026 0.8141
2 K 0.8094 0.8141 0.5974
3 K 0.2210 0.1859 0.4026
4 K 0.6235 0.5974 0.1859
5 Cr 0.0727 0.0000 0.0000
6 O 0.9339 0.2769 0.8534
7 O 0.2108 0.8534 0.7231
8 O 0.7874 0.1466 0.2769
9 O 0.0643 0.7231 0.1466
10 O 0.3804 0.0000 0.0000

E = -5.088 eV per atom
SG = I4